Record 1
DFT (PBE-GGA) results for crystalline SmCdNO at its relaxed geometry.

Computed properties:
Energy (eV per atom): -6.021

POSCAR file:
```
SmCdNO
1.0
-0.8949 -2.1145 -2.9957
-1.6790 -4.4970 3.6758
-5.9134 2.3157 0.1319
Cd N O Sm
2 2 2 2
Cartesian
-2.9184 -1.4672 1.9075
-3.8559 1.4771 0.1092
-3.3984 -3.1451 3.2352
-4.5915 -0.1006 1.4426
-2.0145 -2.3881 -0.0904
-6.9001 -3.0521 1.8378
-1.4946 -0.6576 -1.4671
-6.1600 -1.4079 0.4561
```

***

Record 2
DFT (PBE-GGA) results for crystalline SmCdNO at its relaxed geometry.

Computed properties:
Energy (eV per atom): -6.016

POSCAR file:
```
SmCdNO
1.0
-5.3231 -2.7967 -2.4363
2.5025 -7.2863 2.8964
-2.4338 0.8775 4.3103
Cd N O Sm
4 4 4 4
Cartesian
-2.2073 -4.2498 -0.0852
1.0953 -4.7179 1.8749
-5.3785 -4.8378 1.1755
-2.0759 -5.3059 3.1356
-2.0457 -2.0380 -0.4455
-2.8284 -8.9071 0.5111
-1.4538 -0.6489 2.5376
-2.2364 -7.5180 3.4941
-4.0028 -5.3377 -0.8730
-0.7853 -5.5580 0.9886
-3.5016 -3.9963 2.0685
-0.2842 -4.2166 3.9301
-0.1050 -1.1470 0.4698
-0.9626 -7.7976 1.3395
-3.3202 -1.7582 1.7104
-4.1779 -8.4088 2.5801
```

***

Record 3
DFT (PBE-GGA) results for crystalline SmCdNO at its relaxed geometry.

Computed properties:
Energy (eV per atom): -5.997

POSCAR file:
```
SmCdNO
1.0
-4.2834 2.5453 3.9695
-0.7817 -6.5595 3.3625
4.5202 1.4765 3.9310
Cd N O Sm
4 4 4 4
Cartesian
-1.7169 2.3636 5.7756
-0.2072 -4.2129 6.5098
1.7801 2.3669 6.5949
3.2898 -4.2096 7.3290
-3.4507 1.6737 4.6152
-1.8847 -4.4303 5.1071
0.2710 1.5434 5.2263
1.8369 -4.5606 5.7182
-1.5408 -1.4124 3.3627
-3.8446 -1.4998 6.0446
2.0296 -1.4528 4.1138
-0.2741 -1.5402 6.7958
0.0577 -0.5936 4.7742
-2.2994 -1.1285 7.6855
3.8055 -0.7394 5.3610
1.4484 -1.2743 8.2723
```

***

Record 4
DFT (PBE-GGA) results for crystalline SmCdNO at its relaxed geometry.

Computed properties:
Energy (eV per atom): -6.070

POSCAR file:
```
SmCdNO
1.0
-1.9734 -3.4181 0.0000
0.0000 0.0000 5.5607
-5.4630 3.1541 0.0000
Cd N O Sm
2 2 2 2
Cartesian
-2.0713 -1.0829 5.4243
-5.3652 0.8189 2.6440
-1.8435 1.0644 5.0176
-3.6195 2.0897 2.2373
-1.8476 -1.2120 2.1938
-5.5888 0.9480 4.9741
-1.6791 0.9694 2.6784
-3.7840 2.1847 5.4588
```